Record 1
## NiGe2Rh (GGA-PBE)

Data for a relaxed structure of NiGe2Rh.

The structure in POSCAR format:
```
NiGe2Rh
1.0
2.962 0.000 0.000
-1.481 2.565 0.000
0.000 0.000 25.172
Ni Ge Rh
3 6 3
Cartesian
0.000 0.000 0.000
0.000 1.710 16.781
1.481 0.855 8.391
0.000 0.000 2.289
0.000 0.000 22.883
0.000 1.710 14.492
0.000 1.710 19.071
1.481 0.855 6.101
1.481 0.855 10.680
0.000 0.000 12.586
0.000 1.710 4.195
1.481 0.855 20.977
```

Crystal system   trigonal
E   -5.623 eV/atom
Energy relative to the lowest polymorph listed for this composition   185 meV per atom

---

Record 2
## NiGeRh3 (GGA-PBE)

Data for a relaxed structure of NiGeRh3.

The structure in POSCAR format:
```
NiGeRh3
1.0
4.509 0.000 0.000
0.000 4.509 0.000
0.000 0.000 4.509
Ni Ge Rh
1 1 3
Cartesian
0.000 0.000 0.000
2.254 2.254 2.254
0.000 2.254 2.254
2.254 0.000 2.254
2.254 2.254 0.000
```

Crystal system   cubic
E   -5.631 eV/atom
Energy relative to the lowest polymorph listed for this composition   1091 meV per atom

---

Record 3
## Ni8Ge2Rh (GGA-PBE)

Data for a relaxed structure of Ni8Ge2Rh.

The structure in POSCAR format:
```
Ni8Ge2Rh
1.0
3.273 -5.469 0.000
3.273 5.469 0.000
-1.670 0.000 3.804
Ni Ge Rh
8 2 1
Cartesian
0.297 1.230 2.351
3.273 3.036 0.000
0.297 -1.230 2.351
2.346 0.000 0.713
2.530 0.000 3.090
4.578 1.230 1.453
3.273 -3.036 0.000
4.578 -1.230 1.453
2.438 2.077 1.902
2.438 -2.077 1.902
0.000 0.000 0.000
```

Crystal system   monoclinic
E   -5.708 eV/atom

---

Record-wise magnetic moment values, in μB/atom: 0.00, 0.55, 0.00
Record-wise ΔE_f values, in kJ per mole of atoms: -3.0, 82.9, 0.4